# 1
# Ca5Mg2Ga

An optimized crystal structure of Ca5Mg2Ga (PBE, Alexandria via LeMat-Bulk).

Cell: 7.036 13.546 5.385 Å, 90.00 90.00 90.00°
Sites, in units of the cell vectors:
Ca  0.000  0.000  0.000
Ca  0.111  0.278  0.000
Ca  0.164  0.599  0.500
Ca  0.336  0.099  0.500
Ca  0.389  0.778  0.000
Ca  0.500  0.500  0.000
Ca  0.611  0.222  0.000
Ca  0.664  0.901  0.500
Ca  0.836  0.401  0.500
Ca  0.889  0.722  0.000
Mg  0.144  0.861  0.500
Mg  0.356  0.361  0.500
Mg  0.644  0.639  0.500
Mg  0.856  0.139  0.500
Ga  0.000  0.500  0.000
Ga  0.500  0.000  0.000

Properties
DFT formation energy: -0.15 eV per atom
theoretical density: 2.063 g/cm3

---

# 2
# KSiNi2

An optimized crystal structure of KSiNi2 (PBE, Alexandria via LeMat-Bulk).

Cell: 5.753 5.753 5.753 Å, 153.64 128.93 58.38°
Sites, in units of the cell vectors:
K  0.000  0.000  0.000
Si  0.708  0.208  0.500
Ni  0.300  0.800  0.500
Ni  0.518  0.518  0.000

Properties
VASP energy: -4.081 eV per atom
theoretical density: 4.690 g/cm3

---

Ordered size of the total moment results: 0.00, 0.00; unit μB/f.u..